DFT (PBE) results for AlV3Cr after structural relaxation.

## Properties
calculated volume	13.8	A^3/atom
energy above the lowest structure with this stoichiometry	0.238	eV/atom
DOS at the Fermi energy	19.938	states/eV per cell
energy relative to the elements	0.141	eV per atom
E_tot	-8.0033	eV per atom
total moment	0.00	μB/atom

Cell lengths 6.8661, 6.8661, 6.3360 Å; angles 106.04, 106.04, 88.87 degrees
Positions (direct):
Al 0.0790 0.7196 0.8207
Al 0.2804 0.9210 0.6793
Al 0.7196 0.0790 0.3207
Al 0.9210 0.2804 0.1793
V 0.1142 0.2388 0.5900
V 0.2016 0.5451 0.4257
V 0.2070 0.4523 0.0194
V 0.2388 0.1142 0.0900
V 0.4523 0.2070 0.5194
V 0.4549 0.7984 0.0743
V 0.5451 0.2016 0.9257
V 0.5477 0.7930 0.4806
V 0.7612 0.8858 0.9100
V 0.7930 0.5477 0.9806
V 0.7984 0.4549 0.5743
V 0.8858 0.7612 0.4100
Cr 0.0954 0.9046 0.2500
Cr 0.4583 0.5417 0.7500
Cr 0.5417 0.4583 0.2500
Cr 0.9046 0.0954 0.7500


DFT (PBE) results for NdMgScHg after structural relaxation.

## Properties
calculated volume	25.5	A^3/atom
energy above the lowest structure with this stoichiometry	0.000	eV/atom
DOS at the Fermi energy	4.629	states/eV per cell
energy relative to the elements	-0.254	eV per atom
E_tot	-3.5027	eV per atom
total moment	0.00	μB/atom

Cell lengths 3.6591, 3.6591, 7.6126 Å; angles 90.00, 90.00, 90.00 degrees
Positions (direct):
Nd 0.0000 0.0000 0.0000
Mg 0.5000 0.5000 0.7168
Sc 0.0000 0.0000 0.4887
Hg 0.5000 0.5000 0.2862


DFT (PBE) results for KBe3 after structural relaxation.

## Properties
calculated volume	15.7	A^3/atom
energy above the lowest structure with this stoichiometry	0.811	eV/atom
DOS at the Fermi energy	2.600	states/eV per cell
energy relative to the elements	1.309	eV per atom
E_tot	-1.7602	eV per atom
total moment	0.00	μB/atom

Cell lengths 6.5298, 6.5298, 6.5298 Å; angles 137.46, 137.46, 61.73 degrees
Positions (direct):
K 0.1255 0.1255 0.0000
K 0.8745 0.8745 0.0000
Be 0.0000 0.5000 0.5000
Be 0.2500 0.7500 0.5000
Be 0.4012 0.4012 0.0000
Be 0.5000 0.0000 0.5000
Be 0.5988 0.5988 0.0000
Be 0.7500 0.2500 0.5000


DFT (PBE) results for K4AcTh3Se8 after structural relaxation.

## Properties
calculated volume	31.7	A^3/atom
DOS at the Fermi energy	10.726	states/eV per cell
energy relative to the elements, uncorrected	-1.591	eV per atom
E_tot	-5.2559	eV per atom
total moment	0.00	μB/atom

Cell lengths 9.2814, 9.2814, 9.2814 Å; angles 55.51, 55.51, 55.51 degrees
Positions (direct):
K 0.0000 0.0000 0.0000
K 0.0000 0.5000 0.5000
K 0.5000 0.0000 0.5000
K 0.5000 0.5000 0.0000
Ac 0.5000 0.5000 0.5000
Th 0.0000 0.0000 0.5000
Th 0.0000 0.5000 0.0000
Th 0.5000 0.0000 0.0000
Se 0.2260 0.7467 0.7467
Se 0.2379 0.2379 0.2379
Se 0.2533 0.2533 0.7740
Se 0.2533 0.7740 0.2533
Se 0.7467 0.2260 0.7467
Se 0.7467 0.7467 0.2260
Se 0.7621 0.7621 0.7621
Se 0.7740 0.2533 0.2533


DFT (PBE) results for Pm8DyMg2 after structural relaxation.

## Properties
calculated volume	33.2	A^3/atom
energy above the lowest structure with this stoichiometry	0.105	eV/atom
DOS at the Fermi energy	13.381	states/eV per cell
energy relative to the elements	0.115	eV per atom
E_tot	-4.0484	eV per atom
total moment	0.00	μB/atom

Cell lengths 9.0932, 9.0932, 5.8055 Å; angles 103.13, 103.13, 121.07 degrees
Positions (direct):
Pm 0.0972 0.3235 0.6389
Pm 0.2104 0.7896 0.0000
Pm 0.3235 0.0972 0.6389
Pm 0.4098 0.4098 0.2057
Pm 0.5902 0.5902 0.7943
Pm 0.6765 0.9028 0.3611
Pm 0.7896 0.2104 0.0000
Pm 0.9028 0.6765 0.3611
Dy 0.0000 0.0000 0.0000
Mg 0.3069 0.6931 0.5000
Mg 0.6931 0.3069 0.5000